A geometry-optimized KGaH structure, computed with PBE-GGA.

Properties
M_tot in μB per atom: 0.00
Polymorph energy (0 for the lowest one) in meV/atom: 219
E in eV/f.u.: -7.40
Symmetry: No. 129

a b c (Å): 3.7388 3.7388 9.1586
angles (deg): 90.00 90.00 90.00
With the nearest neighbours (Å) after each atom.
Sites, in units of the cell vectors:
1 H 0.2499 0.2499 0.8396  1 Ga 2.63, 4 K 2.64
2 K 0.2501 0.2501 0.1616  5 H 2.64-2.95
3 H 0.7501 0.7501 0.1604  1 Ga 2.63, 4 K 2.64
4 Ga 0.7500 0.7500 0.4472  1 H 2.63, 4 Ga 2.82
5 K 0.7499 0.7499 0.8384  5 H 2.64-2.95
6 Ga 0.2500 0.2500 0.5528  1 H 2.63, 4 Ga 2.82

***

A geometry-optimized CsTaBr6 structure, computed with PBE-GGA.

Properties
M_tot in μB per atom: 0.00
Polymorph energy (0 for the lowest one) in meV/atom: 17
E in eV/f.u.: -32.03
Symmetry: No. 166
Formation energy from raw total energies in meV per atom: -1161

a b c (Å): 7.4824 7.4824 8.0370
angles (deg): 62.26 62.26 60.00
With the nearest neighbours (Å) after each atom.
Sites, in units of the cell vectors:
1 Br 0.3918 0.9119 0.7845  1 Ta 2.54
2 Br 0.6082 0.0881 0.2155  1 Ta 2.54
3 Cs 0.5000 0.5000 0.5000  12 Br 4.21
4 Br 0.0881 0.6082 0.2155  1 Ta 2.54
5 Br 0.9119 0.3918 0.7845  1 Ta 2.54
6 Ta 0.0000 0.0000 0.0000  6 Br 2.54
7 Br 0.9119 0.9119 0.7845  1 Ta 2.54
8 Br 0.0881 0.0881 0.2155  1 Ta 2.54

***

A geometry-optimized Ac4PrCd3 structure, computed with PBE-GGA.

Properties
M_tot in μB per atom: 0.00
E in eV/f.u.: -25.19
Symmetry: No. 166
Energy of formation in eV/f.u.: -1.230

a b c (Å): 5.8086 5.8086 10.2450
angles (deg): 73.53 73.53 60.00
With the nearest neighbours (Å) after each atom.
Sites, in units of the cell vectors:
1 Cd 0.2568 0.2568 0.2296  8 Ac 3.46-3.72
2 Ac 0.8715 0.8715 0.3856  7 Cd 3.53-3.72, 1 Pr 3.73
3 Cd 0.5000 0.5000 0.5000  8 Ac 3.45-3.53
4 Ac 0.1285 0.1285 0.6144  7 Cd 3.53-3.72, 1 Pr 3.73
5 Pr 0.0000 0.0000 0.0000  8 Ac 3.63-3.73, 6 Cd 4.02
6 Cd 0.7432 0.7432 0.7704  8 Ac 3.46-3.72
7 Ac 0.6189 0.6189 0.1434  5 Cd 3.45-3.61, 3 Pr 3.63
8 Ac 0.3811 0.3811 0.8566  5 Cd 3.45-3.61, 3 Pr 3.63

***

A geometry-optimized Ce2TlBi structure, computed with PBE-GGA.

Properties
M_tot in μB per atom: 0.45
Polymorph energy (0 for the lowest one) in meV/atom: 83
E in eV/f.u.: -19.57
Symmetry: No. 166
Energy of formation in eV/f.u.: -1.451

a b c (Å): 4.3995 4.4049 8.4626
angles (deg): 105.05 90.00 119.96
With the nearest neighbours (Å) after each atom.
Sites, in units of the cell vectors:
1 Bi 0.0000 0.0000 0.5000  6 Ce 3.21-3.22
2 Tl 0.5000 0.0000 0.0000  6 Ce 3.28
3 Ce 0.2521 0.5043 0.2562  3 Bi 3.21-3.22, 3 Tl 3.28
4 Ce 0.7479 0.4957 0.7438  3 Bi 3.21-3.22, 3 Tl 3.28

***

A geometry-optimized CeCd3Ag2 structure, computed with PBE-GGA.

Properties
M_tot in μB per atom: 0.18
E in eV/f.u.: -15.07
Symmetry: No. 12
Energy of formation in eV/f.u.: -0.687

a b c (Å): 4.6283 9.5142 7.4671
angles (deg): 118.85 90.00 104.08
With the nearest neighbours (Å) after each atom.
Sites, in units of the cell vectors:
1 Ce 0.8845 0.7690 0.9411  7 Ag 3.23-3.53, 6 Cd 3.31-3.54
2 Cd 0.0689 0.1379 0.4568  3 Ag 2.84-2.91, 3 Cd 2.92-3.04
3 Cd 0.3055 0.6110 0.5337  2 Ag 2.86-2.93, 3 Cd 2.96-2.98
4 Ag 0.4827 0.9655 0.7964  1 Ag 2.78, 4 Cd 2.84-2.86
5 Ce 0.1155 0.2310 0.0589  7 Ag 3.23-3.53, 6 Cd 3.31-3.54
6 Ag 0.7632 0.5264 0.1871  5 Cd 2.90-2.94
7 Cd 0.6298 0.2597 0.7609  4 Ag 2.86-2.94, 3 Cd 2.98-3.04
8 Ag 0.5173 0.0345 0.2036  1 Ag 2.78, 4 Cd 2.84-2.86
9 Ag 0.2368 0.4736 0.8129  5 Cd 2.90-2.94
10 Cd 0.3702 0.7403 0.2391  4 Ag 2.86-2.94, 3 Cd 2.98-3.04
11 Cd 0.9311 0.8621 0.5432  3 Ag 2.84-2.91, 3 Cd 2.92-3.04
12 Cd 0.6945 0.3890 0.4663  2 Ag 2.86-2.93, 3 Cd 2.96-2.98

***

A geometry-optimized AlAgP2 structure, computed with PBE-GGA.

Properties
M_tot in μB per atom: 0.00
E in eV/f.u.: -16.96
Symmetry: No. 194
Energy of formation in eV/f.u.: 0.456

a b c (Å): 3.3264 3.3264 15.7863
angles (deg): 90.00 90.00 120.00
With the nearest neighbours (Å) after each atom.
Sites, in units of the cell vectors:
1 Ag 0.6667 0.3333 0.7500  2 P 2.40
2 P 0.3333 0.6667 0.0980  1 Ag 2.40, 3 Al 2.47
3 P 0.6667 0.3333 0.9020  1 Ag 2.40, 3 Al 2.47
4 Ag 0.3333 0.6667 0.2500  2 P 2.40
5 P 0.3333 0.6667 0.4020  1 Ag 2.40, 3 Al 2.47
6 P 0.6667 0.3333 0.5980  1 Ag 2.40, 3 Al 2.47
7 Al 0.0000 0.0000 0.0000  6 P 2.47
8 Al 0.0000 0.0000 0.5000  6 P 2.47

***

A geometry-optimized CaPu2MnN4 structure, computed with PBE-GGA.

Properties
M_tot in μB per atom: 0.97
E in eV/f.u.: -80.68
Symmetry: No. 63
Formation energy from raw total energies in meV per atom: -942

a b c (Å): 3.3960 5.9753 11.6387
angles (deg): 90.00 90.00 106.51
With the nearest neighbours (Å) after each atom.
Sites, in units of the cell vectors:
1 Pu 0.6315 0.2630 0.0495  6 N 2.31-2.40
2 Mn 0.8269 0.6539 0.7500  4 N 1.83-1.98
3 N 0.4166 0.8332 0.7500  2 Mn 1.98
4 N 0.2579 0.5158 0.1164  1 Mn 1.83
5 Ca 0.0902 0.1804 0.7500  6 N 2.62-2.89
6 Pu 0.6315 0.2630 0.4505  6 N 2.31-2.40
7 Pu 0.3685 0.7370 0.5495  6 N 2.31-2.40
8 N 0.0000 0.0000 0.0000  4 Pu 2.34
9 Pu 0.3685 0.7370 0.9505  6 N 2.31-2.40
10 N 0.2579 0.5158 0.3836  1 Mn 1.83
11 N 0.7421 0.4842 0.8836  1 Mn 1.83
12 Ca 0.9098 0.8196 0.2500  6 N 2.62-2.89
13 N 0.7421 0.4842 0.6164  1 Mn 1.83
14 N 0.0000 0.0000 0.5000  4 Pu 2.34
15 N 0.5834 0.1668 0.2500  2 Mn 1.98
16 Mn 0.1731 0.3461 0.2500  4 N 1.83-1.98

***

A geometry-optimized PrNd4Ga structure, computed with PBE-GGA.

Properties
M_tot in μB per atom: 0.00
Polymorph energy (0 for the lowest one) in meV/atom: 51
E in eV/f.u.: -27.54
Symmetry: No. 15
Energy of formation in eV/f.u.: -0.659

a b c (Å): 6.4860 9.2806 8.3230
angles (deg): 114.41 100.56 111.72
With the nearest neighbours (Å) after each atom.
Sites, in units of the cell vectors:
1 Ga 0.7493 0.9993 0.9986  8 Nd 3.09-3.23, 2 Ga 3.24
2 Nd 0.9568 0.8289 0.2100  2 Ga 3.23, 2 Nd 3.42-3.60, 1 Pr 3.46
3 Nd 0.7532 0.3812 0.2100  2 Ga 3.23, 2 Nd 3.42-3.60, 1 Pr 3.46
4 Nd 0.7716 0.7183 0.6416  2 Ga 3.09-3.11, 1 Nd 3.42
5 Ga 0.2507 0.0007 0.0014  8 Nd 3.09-3.23, 2 Ga 3.24
6 Nd 0.2284 0.2817 0.3584  2 Ga 3.09-3.11, 1 Nd 3.42
7 Nd 0.2468 0.6188 0.7900  2 Ga 3.23, 2 Nd 3.42-3.60, 1 Pr 3.46
8 Nd 0.6300 0.0767 0.3584  2 Ga 3.09-3.11, 1 Nd 3.42
9 Nd 0.0432 0.1711 0.7900  2 Ga 3.23, 2 Nd 3.42-3.60, 1 Pr 3.46
10 Nd 0.3700 0.9233 0.6416  2 Ga 3.09-3.11, 1 Nd 3.42
11 Pr 0.3510 0.6010 0.2020  10 Nd 3.46-3.87
12 Pr 0.6490 0.3990 0.7980  10 Nd 3.46-3.87